A relaxed structure of KCr2FeO8. Source: the Alexandria database, functional PBE with a Hubbard U.

space-group type: P-3
electronic total energy: -6.520 eV/atom
DOS(E_F): 0.0 states/eV/cell
total magnetic moment: 4.9 μB/cell

The structure in extended XYZ format:
```
12
Lattice="-1.618 -0.915 -5.057 -2.839 -1.968 4.135 -4.144 6.348 0.177" Properties=species:S:1:pos:R:3 pbc="T T T"
O -4.759 0.027 -1.737
O -2.262 -0.904 -1.983
O -2.935 1.264 -3.401
O -3.842 3.437 0.991
O -2.616 1.397 -0.661
O -5.985 2.067 -0.084
O -5.665 2.200 2.656
O -6.339 4.368 1.238
Fe -2.072 3.174 0.088
K 0.000 0.000 0.000
Cr -5.451 3.008 1.200
Cr -3.150 0.456 -1.945
```